Entry from Alexandria: a relaxed structure of Mo2PdF (PBE with a Hubbard U).

Calculated values
Crystal system: tetragonal
Energy relative to the lowest polymorph listed for this composition (meV/atom): 0
E_tot (eV per atom): -4.937
Calculated density (g/cm³): 6.84

Unit cell a=6.786 b=6.786 c=5.849 alpha=54.54 beta=54.54 gamma=90.00
Fractional coordinates of all 8 atoms:
Mo (0.580, 0.125, 0.250)
Mo (0.170, 0.625, 0.250)
Mo (0.375, 0.420, 0.750)
Mo (0.875, 0.830, 0.750)
Pd (0.000, 0.000, 0.000)
Pd (0.750, 0.250, 0.500)
F (0.500, 0.500, 0.000)
F (0.250, 0.750, 0.500)